[1]
VASP calculation (PBE-GGA) on AcLuCuSn after structural relaxation.

- Raw total energy: -4.49 eV per atom
- ΔE_f: -0.30 eV/atom
- Size of the total moment: 0.0 μB/cell
- Symmetry: F-43m (216)

Cell: 5.3626 5.3626 5.3626 Å, 60.00 60.00 60.00°
Atoms (fractional coordinates):
Ac (0.0000, 0.0000, 0.0000)
Lu (0.5000, 0.5000, 0.5000)
Cu (0.2500, 0.2500, 0.2500)
Sn (0.7500, 0.7500, 0.7500)


[2]
VASP calculation (PBE-GGA) on CrGaSb2I after structural relaxation.

- Raw total energy: -4.15 eV per atom
- ΔE to the lowest computed polymorph: 0.176 eV/atom
- Uncorrected formation energy: 162 kJ/mol of formula units
- Size of the total moment: 1.7 μB/cell
- Symmetry: P4/mmm (123)

Cell: 5.0378 5.0378 6.0381 Å, 90.00 90.00 90.00°
Atoms (fractional coordinates):
Cr (0.0000, 0.0000, 0.0000)
Ga (0.5000, 0.5000, 0.5000)
Sb (0.0000, 0.5000, 0.0000)
Sb (0.5000, 0.0000, 0.0000)
I (0.0000, 0.0000, 0.5000)


[3]
VASP calculation (PBE-GGA) on LiSi2Pb2 after structural relaxation.

- Raw total energy: -3.89 eV per atom
- ΔE to the lowest computed polymorph: 0.000 eV/atom
- Uncorrected formation energy: 71 kJ/mol of formula units
- Size of the total moment: 0.0 μB/cell
- Symmetry: I4/mmm (139)

Cell: 9.6264 9.6264 9.6264 Å, 159.24 159.24 29.53°
Atoms (fractional coordinates):
Li (0.0000, 0.0000, 0.0000)
Si (0.2500, 0.7500, 0.5000)
Si (0.7500, 0.2500, 0.5000)
Pb (0.3957, 0.3957, 0.0000)
Pb (0.6043, 0.6043, 0.0000)


[4]
VASP calculation (PBE-GGA) on TiAlAsP2 after structural relaxation.

- Raw total energy: -4.86 eV per atom
- ΔE_f: 0.56 eV/atom
- Size of the total moment: 0.0 μB/cell
- Symmetry: P4/mmm (123)

Cell: 4.6420 4.6420 5.0731 Å, 90.00 90.00 90.00°
Atoms (fractional coordinates):
Ti (0.0000, 0.0000, 0.0000)
Al (0.0000, 0.0000, 0.5000)
As (0.5000, 0.5000, 0.5000)
P (0.0000, 0.5000, 0.0000)
P (0.5000, 0.0000, 0.0000)